# 1
Compound: MgRe2SiSb
Source: Alexandria
Functional: GGA-PBE
Structure: relaxed

- density of states at the Fermi level (states/eV per atom) = 1.208
- space-group type = P4/mmm, No. 123
- calculated volume (Å³ per cell) = 96
- formation energy without anion corrections (meV/atom) = 958
- magnetic moment (μB/f.u.) = 0.000
- raw total energy (eV per atom) = -6.250

Structure (POSCAR):
```
MgRe2SiSb
1.0
-3.5139 -2.4541 1.5453
2.7606 -3.6963 0.4072
1.0176 1.2301 4.2673
Re Si Mg Sb
2 1 1 1
Cartesian
0.5088 0.6150 2.1336
-1.7569 -1.2271 0.7727
0.0000 0.0000 0.0000
1.3803 -1.8481 0.2036
0.1321 -2.4602 3.1099
```

---

# 2
Compound: MgReSb2Te
Source: Alexandria
Functional: GGA-PBE
Structure: relaxed

- density of states at the Fermi level (states/eV per atom) = 1.029
- space-group type = P4/mmm, No. 123
- calculated volume (Å³ per cell) = 153
- excess energy over the best structure of this formula in the dataset (eV/atom) = 0.000
- formation energy without anion corrections (meV/atom) = 579
- magnetic moment (μB/f.u.) = 0.001
- raw total energy (eV per atom) = -4.507

Structure (POSCAR):
```
MgReSb2Te
1.0
5.0408 0.0000 0.0000
0.0000 5.0408 0.0000
0.0000 0.0000 6.0020
Re Mg Te Sb
1 1 1 2
Cartesian
0.0000 0.0000 0.0000
2.5204 2.5204 3.0010
0.0000 0.0000 3.0010
0.0000 2.5204 0.0000
2.5204 0.0000 0.0000
```

---

# 3
Compound: MgReSb2Te
Source: Alexandria
Functional: GGA-PBE
Structure: relaxed

- density of states at the Fermi level (states/eV per atom) = 0.865
- space-group type = P4/mmm, No. 123
- calculated volume (Å³ per cell) = 149
- excess energy over the best structure of this formula in the dataset (eV/atom) = 0.928
- formation energy without anion corrections (meV/atom) = 1507
- magnetic moment (μB/f.u.) = 3.797
- raw total energy (eV per atom) = -3.579

Structure (POSCAR):
```
MgReSb2Te
1.0
5.2781 0.0000 0.0000
0.0000 5.2781 0.0000
0.0000 0.0000 5.3354
Re Mg Te Sb
1 1 1 2
Cartesian
2.6391 2.6391 2.6677
0.0000 0.0000 0.0000
0.0000 0.0000 2.6677
0.0000 2.6391 0.0000
2.6391 0.0000 0.0000
```